Computed, not measured: a relaxed ZrCl3 crystal at the PBE-GGA level of DFT.

## Properties
Energy relative to the elements, uncorrected = -1555.0 meV per atom

Unit cell a=6.3179 b=12.3230 c=5.8537 alpha=90.00 beta=90.00 gamma=90.00
Space group Pnma (No. 62)
Unique sites:
Zr 0.1270 0.2500 0.0833
Cl 0.0374 0.7500 0.3219
Cl 0.1677 0.6125 0.8270

Computed, not measured: a relaxed Si5GeW10 crystal at the PBE-GGA level of DFT.

## Properties
Energy relative to the elements, uncorrected = -106.4 meV per atom

Unit cell a=9.7143 b=9.7143 c=5.0044 alpha=90.00 beta=90.00 gamma=90.00
Space group I422 (No. 97)
Unique sites:
Si 0.0000 0.0000 0.0000
Si 0.1681 0.3319 0.7500
Ge 0.0000 0.0000 0.5000
W 0.0000 0.5000 0.0000
W 0.0758 0.2270 0.2474

Computed, not measured: a relaxed ScBe2Ag crystal at the PBE-GGA level of DFT.

## Properties
Energy above the lowest structure with this stoichiometry = 59 meV per atom

Unit cell a=4.0000 b=4.0000 c=12.9396 alpha=90.00 beta=90.00 gamma=120.00
Space group R-3m (No. 166, hexagonal axes)
Unique sites:
Sc 0.0000 0.0000 0.0000
Be 0.0000 0.0000 0.2067
Ag 0.0000 0.0000 0.5000

Computed, not measured: a relaxed DyTc2B2 crystal at the PBE-GGA level of DFT.

## Properties
Energy above the lowest structure with this stoichiometry = 114 meV per atom

Unit cell a=5.2140 b=5.2221 c=9.7925 alpha=90.00 beta=90.00 gamma=90.00
Space group Fmmm (No. 69)
Unique sites:
Dy 0.0000 0.0000 0.0000
Tc 0.2500 0.2500 0.2500
B 0.0000 0.0000 0.4012

Computed, not measured: a relaxed LiErSi2Pt5 crystal at the PBE-GGA level of DFT.

## Properties
Energy relative to the elements, uncorrected = -921.2 meV per atom

Unit cell a=4.0811 b=4.0811 c=9.0813 alpha=90.00 beta=90.00 gamma=90.00
Space group P4/mmm (No. 123)
Unique sites:
Li 0.0000 0.0000 0.0000
Er 0.0000 0.0000 0.5000
Si 0.5000 0.5000 0.1284
Pt 0.0000 0.5000 0.2649
Pt 0.5000 0.5000 0.5000

Computed, not measured: a relaxed Ba3ZrHg crystal at the PBE-GGA level of DFT.

## Properties
Energy above the lowest structure with this stoichiometry = 0 meV per atom

Unit cell a=6.4603 b=6.4603 c=6.4603 alpha=90.00 beta=90.00 gamma=90.00
Space group Pm-3m (No. 221)
Unique sites:
Ba 0.0000 0.0000 0.5000
Zr 0.5000 0.5000 0.5000
Hg 0.0000 0.0000 0.0000